1.
{"formula": "Li2ZnTc", "functional": "GGA-PBE", "state": "optimized geometry", "sg": "F-43m", "vol_a3_per_atom": 13.96, "total_energy_ev_per_atom": -3.567, "density_g_cm3": 5.27, "lattice": [[0.0000, 3.0340, 3.0340], [3.0340, 0.0000, 3.0340], [3.0340, 3.0340, 0.0000]], "species": ["Li", "Li", "Zn", "Tc"], "frac_coords": [[0.0000, 0.0000, 0.0000], [0.2500, 0.2500, 0.2500], [0.5000, 0.5000, 0.5000], [0.7500, 0.7500, 0.7500]]}

=====

2.
{"formula": "Li4Sb2IrPd", "functional": "GGA-PBE", "state": "optimized geometry", "sg": "P-4m2", "vol_a3_per_atom": 15.60, "total_energy_ev_per_atom": -4.288, "density_g_cm3": 7.58, "lattice": [[4.4568, 0.0000, 0.0000], [0.0000, 4.4568, 0.0000], [0.0000, 0.0000, 6.2824]], "species": ["Li", "Li", "Li", "Li", "Sb", "Sb", "Ir", "Pd"], "frac_coords": [[0.0000, 0.0000, 0.0000], [0.0000, 0.5000, 0.2503], [0.5000, 0.0000, 0.7497], [0.5000, 0.5000, 0.5000], [0.0000, 0.5000, 0.7403], [0.5000, 0.0000, 0.2597], [0.0000, 0.0000, 0.5000], [0.5000, 0.5000, 0.0000]]}